# 1
! ErScCdPd (PBE-GGA, relaxed); values from VASP
&SYSTEM
  ibrav = 0, nat = 4, ntyp = 4
/
ATOMIC_SPECIES
Er 167.26 Er.upf
Sc 44.96 Sc.upf
Cd 112.41 Cd.upf
Pd 106.42 Pd.upf
ATOMIC_POSITIONS angstrom
Er 0.0000 0.0000 0.0000
Sc 3.5119 3.5119 3.5119
Cd 1.7559 1.7559 1.7559
Pd 5.2678 5.2678 5.2678
CELL_PARAMETERS angstrom
0.0000 3.5119 3.5119
3.5119 0.0000 3.5119
3.5119 3.5119 0.0000
! **SG**: F-43m
! **Distance to the lowest polymorph of the same formula**: 0.24 eV/f.u.
! **ΔE_f**: -540 meV/atom
! **E_tot**: -19.16 eV per cell
! **Calculated density**: 8.263 g/cm³


# 2
! Ti2GePt (PBE-GGA, relaxed); values from VASP
&SYSTEM
  ibrav = 0, nat = 4, ntyp = 3
/
ATOMIC_SPECIES
Ti 47.87 Ti.upf
Ge 72.64 Ge.upf
Pt 195.08 Pt.upf
ATOMIC_POSITIONS angstrom
Ti 0.0000 0.0000 4.7610
Ti 0.0000 0.0000 14.3489
Ge 0.0000 0.0000 9.5549
Pt 0.0000 0.0000 0.0000
CELL_PARAMETERS angstrom
1.7951 1.0364 6.3699
-1.7951 1.0364 6.3699
0.0000 -2.0728 6.3699
! **SG**: R-3m
! **ΔE_f**: -410 meV/atom
! **E_tot**: -28.09 eV per cell
! **Calculated density**: 8.488 g/cm³


# 3
! BeCo2Mo (PBE-GGA, relaxed); values from VASP
&SYSTEM
  ibrav = 0, nat = 4, ntyp = 3
/
ATOMIC_SPECIES
Be 9.01 Be.upf
Co 58.93 Co.upf
Mo 95.94 Mo.upf
ATOMIC_POSITIONS angstrom
Be 0.0000 0.0000 0.0000
Co 1.7047 0.0000 1.8531
Co 0.0000 0.0000 3.7632
Mo 0.0000 1.7457 1.8772
CELL_PARAMETERS angstrom
-1.7047 1.7457 3.7804
1.7047 -1.7457 3.7804
1.7047 1.7457 -3.7804
! **SG**: Imm2
! **ΔE_f**: -1 meV/atom
! **E_tot**: -28.77 eV per cell
! **Calculated density**: 8.222 g/cm³


# 4
! Y3Ni2Ir7 (PBE-GGA, relaxed); values from VASP
&SYSTEM
  ibrav = 0, nat = 12, ntyp = 3
/
ATOMIC_SPECIES
Y 88.91 Y.upf
Ni 58.69 Ni.upf
Ir 192.22 Ir.upf
ATOMIC_POSITIONS angstrom
Y 0.0000 0.0000 0.0000
Y 0.0000 0.0000 3.5646
Y 0.0000 0.0000 21.8550
Ni 0.0000 0.0000 8.4746
Ni 0.0000 0.0000 16.9450
Ir -1.3312 -0.7686 10.5046
Ir 0.0000 -1.5372 14.9150
Ir -1.3312 0.7686 14.9150
Ir 0.0000 0.0000 12.7098
Ir 1.3312 -0.7686 10.5047
Ir 0.0000 1.5372 10.5047
Ir 1.3312 0.7686 14.9149
CELL_PARAMETERS angstrom
2.6470 1.5283 8.4732
-2.6470 1.5283 8.4732
0.0000 -3.0565 8.4732
! **SG**: R-3m
! **ΔE_f**: -619 meV/atom
! **E_tot**: -100.41 eV per cell
! **Calculated density**: 13.965 g/cm³


# 5
! KAcH6Au2 (PBE-GGA, relaxed); values from VASP
&SYSTEM
  ibrav = 0, nat = 20, ntyp = 4
/
ATOMIC_SPECIES
K 39.10 K.upf
Ac 227.00 Ac.upf
H 1.01 H.upf
Au 196.97 Au.upf
ATOMIC_POSITIONS angstrom
K 1.6183 4.1373 4.9794
K 3.6371 -4.1373 1.6598
Ac 3.6371 1.0678 1.6598
Ac 1.6183 -1.0678 4.9794
H -0.7132 3.0506 5.8996
H -0.6153 0.1679 4.2482
H 1.4035 -0.1679 0.9285
H 2.0873 1.0516 3.7397
H 3.9498 3.0506 4.0593
H 1.1493 1.0516 6.2192
H 4.1061 -1.0516 0.4201
H 1.3056 -3.0506 2.5799
H 3.1682 -1.0516 2.8995
H 3.8519 0.1679 5.7107
H 5.8707 -0.1679 2.3911
H 5.9686 -3.0506 0.7397
Au -0.5441 1.5985 5.1076
Au 1.4747 -1.5985 1.7879
Au 3.7807 1.5985 4.8513
Au 5.7996 -1.5985 1.5317
CELL_PARAMETERS angstrom
4.6466 -5.0824 0.0000
4.6466 5.0824 0.0000
-4.0377 0.0000 6.6393
! **SG**: C2/c
! **E_tot**: -68.97 eV per cell
! **Calculated density**: 7.054 g/cm³


# 6
! Cs2PuNpSe4 (PBE-GGA, relaxed); values from VASP
&SYSTEM
  ibrav = 0, nat = 8, ntyp = 4
/
ATOMIC_SPECIES
Cs 132.91 Cs.upf
Pu 244.00 Pu.upf
Np 237.00 Np.upf
Se 78.96 Se.upf
ATOMIC_POSITIONS angstrom
Cs 0.0000 0.0000 0.0000
Cs 3.7501 2.1648 0.0000
Pu -1.2497 2.1648 4.1751
Np 2.5004 0.0000 4.1751
Se 0.0258 0.0000 5.7154
Se 1.2750 2.1648 2.6364
Se 3.7258 2.1648 5.7139
Se 4.9751 0.0000 2.6348
CELL_PARAMETERS angstrom
7.5003 0.0000 0.0000
0.0000 4.3295 0.0000
-2.4994 0.0000 8.3503
! **SG**: P2/m
! **E_tot**: -53.67 eV per cell
! **Calculated density**: 6.508 g/cm³